Entry 1:
A relaxed LiGdSO crystal. Source: the Open Quantum Materials Database, functional PBE.

Results
space group = P4/nmm (129)
energy above the most stable polymorph in this dataset = 0.00 eV per formula unit
raw total energy = -50.8 eV for the cell shown

Cell: 3.859 3.859 8.555 Å, 90.00 90.00 90.00°
Positions (direct):
Li: 0.250 0.750 0.000
Li: 0.750 0.250 0.000
Gd: 0.250 0.250 0.365
Gd: 0.750 0.750 0.635
S: 0.250 0.250 0.829
S: 0.750 0.750 0.171
O: 0.250 0.750 0.500
O: 0.750 0.250 0.500

Entry 2:
A relaxed LiGdSO crystal. Source: the Open Quantum Materials Database, functional PBE.

Results
space group = P2_1/c (14)
energy above the most stable polymorph in this dataset = 0.40 eV per formula unit
raw total energy = -100.1 eV for the cell shown

Cell: 5.699 6.976 6.259 Å, 90.00 98.58 90.00°
Positions (direct):
Li: 0.111 0.225 0.003
Li: 0.111 0.275 0.503
Li: 0.889 0.725 0.497
Li: 0.889 0.775 0.997
Gd: 0.382 0.592 0.249
Gd: 0.382 0.908 0.749
Gd: 0.618 0.092 0.251
Gd: 0.618 0.408 0.751
S: 0.130 0.566 0.788
S: 0.130 0.934 0.288
S: 0.870 0.066 0.712
S: 0.870 0.434 0.212
O: 0.427 0.194 0.940
O: 0.427 0.306 0.440
O: 0.573 0.694 0.560
O: 0.573 0.806 0.060